Computed, not measured: a relaxed Li2VO2F crystal at the PBE with a Hubbard U level of DFT.

Its symmetry is Pm (6). The total energy is -6.133 eV/atom. For the magnetization, the calculation gives 2.00 μB/f.u. The energy above the most stable polymorph in this dataset is 97 meV/atom.

```
Li2VO2F
1.0
8.964 0.000 0.000
0.000 3.009 0.000
-3.050 0.000 8.560
Li V O F
8 4 8 4
Cartesian
0.000 0.000 0.000
8.158 0.000 2.259
1.264 1.504 1.797
0.500 1.504 4.610
2.867 0.000 4.056
1.978 0.000 6.771
4.412 1.504 6.218
6.828 1.504 0.203
-0.536 1.504 7.537
3.965 0.000 1.091
5.442 1.504 3.431
6.961 0.000 5.437
-0.082 0.000 6.181
2.131 0.000 0.329
1.395 1.504 8.336
3.689 1.504 2.452
4.992 0.000 4.662
7.316 1.504 4.084
8.456 1.504 1.114
6.550 1.504 6.734
1.057 0.000 3.326
2.471 1.504 5.378
3.862 0.000 7.443
5.932 0.000 1.971
```